# CaSm4Lu

CaSm4Lu after structural relaxation (PBE-GGA, Alexandria).

POSCAR file:
```
CaSm4Lu
1.0
6.7083 0.0000 0.0000
3.3541 5.8095 0.0000
3.3541 1.9365 5.4773
Lu Sm Ca
1 4 1
Cartesian
0.0000 0.0000 0.0000
8.4104 4.8558 3.4335
6.7083 3.8730 0.6539
6.7083 1.9075 3.4335
5.0061 4.8558 3.4335
3.3541 1.9365 1.3693
```

Values from the calculation:
V	213	Å³ per cell
raw total energy	-4.010	eV per atom
DFT formation energy	223	meV/atom
space-group type	F-43m

---

# CaSmLu2

CaSmLu2 after structural relaxation (PBE-GGA, Alexandria).

POSCAR file:
```
CaSmLu2
1.0
3.5791 0.0000 0.0000
1.7896 3.0996 0.0000
1.7896 1.0332 11.9025
Lu Ca Sm
2 1 1
Cartesian
1.7896 1.0332 3.1258
5.3687 3.0996 8.7768
0.0000 0.0000 0.0000
3.5791 2.0664 5.9513
```

Values from the calculation:
V	132	Å³ per cell
raw total energy	-3.853	eV per atom
DFT formation energy	88	meV/atom
distance to the lowest polymorph of the same formula	0	meV per atom
space-group type	R-3m

---

# CaSmLu2

CaSmLu2 after structural relaxation (PBE-GGA, Alexandria).

POSCAR file:
```
CaSmLu2
1.0
3.6030 0.0000 0.0000
0.0000 3.6030 0.0000
0.0000 0.0000 10.2854
Lu Ca Sm
2 1 1
Cartesian
0.0000 0.0000 7.9060
0.0000 0.0000 2.3794
1.8015 1.8015 5.1427
1.8015 1.8015 0.0000
```

Values from the calculation:
V	134	Å³ per cell
raw total energy	-3.847	eV per atom
DFT formation energy	93	meV/atom
distance to the lowest polymorph of the same formula	5	meV per atom
space-group type	P4/mmm

---

# CaSmLu4

CaSmLu4 after structural relaxation (PBE-GGA, Alexandria).

POSCAR file:
```
CaSmLu4
1.0
6.5702 0.0000 0.0000
3.2851 5.6899 0.0000
3.2851 1.8966 5.3645
Ca Sm Lu
1 1 4
Cartesian
0.0000 0.0000 0.0000
3.2851 1.8966 1.3411
6.5702 3.7933 0.6865
6.5702 1.9117 3.3475
4.9407 4.7341 3.3475
8.1997 4.7341 3.3475
```

Values from the calculation:
V	201	Å³ per cell
raw total energy	-3.897	eV per atom
DFT formation energy	237	meV/atom
space-group type	F-43m

---

# Ca2SmLu

Ca2SmLu after structural relaxation (PBE-GGA, Alexandria).

POSCAR file:
```
Ca2SmLu
1.0
-4.0509 3.9486 1.4479
-4.4895 1.0281 -3.5896
-5.3756 -1.7384 1.4758
Ca Sm Lu
2 1 1
Cartesian
-3.4790 0.8096 -0.1665
-10.4370 2.4288 -0.4994
0.0000 0.0000 0.0000
-6.9580 1.6192 -0.3329
```

Values from the calculation:
V	141	Å³ per cell
raw total energy	-3.129	eV per atom
DFT formation energy	182	meV/atom
distance to the lowest polymorph of the same formula	0	meV per atom
space-group type	Fm-3m

---

# CaSmLu

CaSmLu after structural relaxation (PBE-GGA, Alexandria).

POSCAR file:
```
CaSmLu
1.0
-2.0821 -0.1906 2.9718
0.0251 -3.6271 -0.2150
7.3998 1.6892 3.0714
Sm Lu Ca
1 1 1
Cartesian
4.1089 -0.1417 2.8697
1.2058 -1.9859 2.9388
0.0281 -0.0010 0.0196
```

Values from the calculation:
V	103	Å³ per cell
raw total energy	-3.675	eV per atom
DFT formation energy	72	meV/atom
distance to the lowest polymorph of the same formula	0	meV per atom
space-group type	I4mm

---

# Ca2SmLu

Ca2SmLu after structural relaxation (PBE-GGA, Alexandria).

POSCAR file:
```
Ca2SmLu
1.0
-0.9122 -3.3838 0.6624
1.5904 -2.6554 -1.7723
9.4013 -2.6795 8.8620
Lu Ca Sm
1 2 1
Cartesian
0.0000 0.0000 0.0000
3.0557 -6.2119 1.2823
7.0238 -2.5068 6.4698
5.0397 -4.3593 3.8761
```

Values from the calculation:
V	144	Å³ per cell
raw total energy	-3.048	eV per atom
DFT formation energy	263	meV/atom
distance to the lowest polymorph of the same formula	81	meV per atom
space-group type	R-3m

---

# CaSmLuTh

CaSmLuTh after structural relaxation (PBE-GGA, Alexandria).

POSCAR file:
```
CaSmLuTh
1.0
5.7406 0.0000 0.0000
2.8703 4.9715 0.0000
2.8703 1.6572 4.6872
Lu Ca Sm Th
1 1 1 1
Cartesian
0.0000 0.0000 0.0000
2.8703 1.6572 1.1718
5.7406 3.3143 2.3436
8.6109 4.9715 3.5154
```

Values from the calculation:
V	134	Å³ per cell
raw total energy	-4.437	eV per atom
DFT formation energy	229	meV/atom
space-group type	F-43m

---

# CaSmYLu

CaSmYLu after structural relaxation (PBE-GGA, Alexandria).

POSCAR file:
```
CaSmYLu
1.0
-2.0697 -3.9264 3.6469
0.7285 -5.5940 -1.0848
3.6002 -3.1059 3.2237
Y Sm Lu Ca
1 1 1 1
Cartesian
1.6942 -9.4697 4.3394
0.5647 -3.1566 1.4465
1.1295 -6.3131 2.8929
0.0000 0.0000 0.0000
```

Values from the calculation:
V	134	Å³ per cell
raw total energy	-4.288	eV per atom
DFT formation energy	139	meV/atom
space-group type	F-43m

---

# Ca2LuSn

Ca2LuSn after structural relaxation (PBE-GGA, Alexandria).

POSCAR file:
```
Ca2LuSn
1.0
-2.6632 1.6288 1.7865
-3.3100 -1.4071 -0.0306
0.7176 -6.5166 10.6315
Lu Sn Ca
1 1 2
Cartesian
-2.6278 -3.1475 6.1937
0.0000 0.0000 0.0000
-5.2720 -1.4845 4.3566
0.0164 -4.8105 8.0308
```

Values from the calculation:
V	138	Å³ per cell
raw total energy	-3.019	eV per atom
DFT formation energy	113	meV/atom
distance to the lowest polymorph of the same formula	458	meV per atom
space-group type	R-3m

---

# Ca2LuSn

Ca2LuSn after structural relaxation (PBE-GGA, Alexandria).

POSCAR file:
```
Ca2LuSn
1.0
5.0750 0.0000 0.0000
0.0000 4.8230 0.0000
0.0000 0.0000 4.8230
Lu Sn Ca
1 1 2
Cartesian
2.5375 0.0000 0.0000
2.5375 2.4115 2.4115
0.0000 0.0000 2.4115
0.0000 2.4115 0.0000
```

Values from the calculation:
V	118	Å³ per cell
raw total energy	-3.477	eV per atom
DFT formation energy	-345	meV/atom
distance to the lowest polymorph of the same formula	0	meV per atom
space-group type	P4/mmm

---

# CaLuSn

CaLuSn after structural relaxation (PBE-GGA, Alexandria).

POSCAR file:
```
CaLuSn
1.0
3.5313 0.0000 0.0000
0.0000 3.5313 0.0000
-1.7657 -1.7657 7.0857
Ca Sn Lu
1 1 1
Cartesian
1.7657 1.7657 6.1618
0.0000 0.0000 3.9448
1.7657 1.7657 1.9389
```

Values from the calculation:
V	88	Å³ per cell
raw total energy	-3.893	eV per atom
DFT formation energy	-385	meV/atom
space-group type	I4mm

---

# CaLuSn

CaLuSn after structural relaxation (PBE-GGA, Alexandria).

POSCAR file:
```
CaLuSn
1.0
3.7253 0.0000 0.0000
0.0000 5.2284 0.0000
0.0000 -2.6142 4.5280
Lu Sn Ca
1 1 1
Cartesian
3.3778 0.0000 0.0000
2.7089 2.6142 1.5093
1.3640 0.0000 3.0186
```

Values from the calculation:
V	88	Å³ per cell
raw total energy	-3.814	eV per atom
DFT formation energy	-305	meV/atom
space-group type	P3m1

---

# CaLu2Sn

CaLu2Sn after structural relaxation (PBE-GGA, Alexandria).

POSCAR file:
```
CaLu2Sn
1.0
4.7340 0.0000 0.0000
0.0000 4.8411 0.0000
0.0000 0.0000 4.8411
Lu Ca Sn
2 1 1
Cartesian
0.0000 2.4206 0.0000
0.0000 0.0000 2.4206
2.3670 2.4206 2.4206
2.3670 0.0000 0.0000
```

Values from the calculation:
V	111	Å³ per cell
raw total energy	-4.067	eV per atom
DFT formation energy	-305	meV/atom
distance to the lowest polymorph of the same formula	0	meV per atom
space-group type	P4/mmm

---

# CaLu2Sn

CaLu2Sn after structural relaxation (PBE-GGA, Alexandria).

POSCAR file:
```
CaLu2Sn
1.0
3.5385 0.0000 0.0000
1.7692 3.0644 0.0000
1.7692 1.0215 11.5040
Ca Sn Lu
1 1 2
Cartesian
0.0000 0.0000 0.0000
3.5385 2.0429 5.7520
1.7692 1.0215 8.1604
5.3077 3.0644 3.3436
```

Values from the calculation:
V	125	Å³ per cell
raw total energy	-3.753	eV per atom
DFT formation energy	9	meV/atom
distance to the lowest polymorph of the same formula	314	meV per atom
space-group type	R-3m

---

# CaLuTlSn

CaLuTlSn after structural relaxation (PBE-GGA, Alexandria).

POSCAR file:
```
CaLuTlSn
1.0
5.3671 0.0000 0.0000
2.6835 4.6480 0.0000
2.6835 1.5493 4.3822
Ca Lu Sn Tl
1 1 1 1
Cartesian
5.3671 3.0987 2.1911
0.0000 0.0000 0.0000
2.6835 1.5493 1.0956
8.0506 4.6480 3.2867
```

Values from the calculation:
V	109	Å³ per cell
raw total energy	-3.642	eV per atom
DFT formation energy	-420	meV/atom
space-group type	F-43m

---

In the order shown, the computed DOS(E_F) values come out to 9.67, 6.49, 5.78, 10.74, 5.60, 4.99, 5.95, 8.53, 6.89, 4.71, 2.30, 2.12, 3.36, 4.28, 2.94, 2.73 states/eV per cell.
In the order shown, the computed calculated density values come out to 6.35, 6.80, 6.72, 7.37, 4.78, 5.91, 4.69, 7.42, 5.63, 4.50, 5.26, 6.27, 6.28, 7.61, 6.77, 8.17 g cm⁻³.